Entry from Alexandria via LeMat-Bulk: crystalline Mg4Cd5Ga at its relaxed geometry (GGA-PBE).

Computed properties:
As for the magnetization: 0.000 μB/cell. Its space-group type is No. 123. The energy of formation from the pure elements is -0.0521 eV per atom. For the uncorrected energy, the calculation gives -1.45 eV/atom.

a = 3.5960 Å, b = 3.5960 Å, c = 16.6509 Å
α = 90.00°, β = 90.00°, γ = 90.00°
With the nearest neighbours (Å) after each atom.
Element x y z (fractional)
1 Mg 0.0000 0.0000 0.1008  8 Cd 3.05, 2 Mg 3.36-3.37
2 Mg 0.0000 0.0000 0.3033  8 Cd 3.04-3.05, 1 Ga 3.28, 1 Mg 3.37
3 Mg 0.0000 0.0000 0.6967  8 Cd 3.04-3.05, 1 Ga 3.28, 1 Mg 3.37
4 Mg 0.0000 0.0000 0.8992  8 Cd 3.05, 2 Mg 3.36-3.37
5 Cd 0.5000 0.5000 0.0000  8 Mg 3.05, 2 Cd 3.36
6 Cd 0.5000 0.5000 0.2019  8 Mg 3.05, 2 Cd 3.35-3.36
7 Cd 0.5000 0.5000 0.4028  4 Ga 3.01, 4 Mg 3.04, 2 Cd 3.24-3.35
8 Cd 0.5000 0.5000 0.5972  4 Ga 3.01, 4 Mg 3.04, 2 Cd 3.24-3.35
9 Cd 0.5000 0.5000 0.7981  8 Mg 3.05, 2 Cd 3.35-3.36
10 Ga 0.0000 0.0000 0.5000  8 Cd 3.01, 2 Mg 3.28